ZnSn2Ge2: relaxed, PBE.

```
ZnSn2Ge2
1.0
5.157 0.000 0.000
0.000 5.157 0.000
2.578 2.578 4.745
Zn Sn Ge
1 2 2
Direct
0.000 0.000 0.000
0.250 0.750 0.500
0.750 0.250 0.500
0.630 0.630 0.739
0.370 0.370 0.261
```

Calculated values
Symmetry = No. 139
ΔE to the lowest computed polymorph = 0.18 eV/f.u.



ZnSn2Ge2: relaxed, PBE.

```
ZnSn2Ge2
1.0
7.857 0.000 0.000
0.000 7.857 0.000
0.000 0.000 3.847
Ge Sn Zn
4 4 2
Direct
0.625 0.875 0.500
0.375 0.125 0.500
0.125 0.625 0.500
0.875 0.375 0.500
0.334 0.834 0.000
0.166 0.334 0.000
0.834 0.666 0.000
0.666 0.166 0.000
0.500 0.500 0.000
0.000 0.000 0.000
```

Calculated values
Symmetry = No. 127
ΔE to the lowest computed polymorph = 0.24 eV/f.u.



Zn2SnGe: relaxed, PBE.

```
Zn2SnGe
1.0
3.346 0.000 0.000
0.000 3.346 0.000
0.000 0.000 7.115
Zn Ge Sn
2 1 1
Direct
0.000 0.000 0.214
0.000 0.000 0.786
0.500 0.500 0.000
0.500 0.500 0.500
```

Calculated values
Symmetry = No. 123
ΔE to the lowest computed polymorph = 0.18 eV/f.u.



ZnSnGe2: relaxed, PBE.

```
ZnSnGe2
1.0
-1.639 1.673 4.315
-2.984 3.896 0.149
-4.721 -0.570 1.220
Sn Zn Ge
1 1 2
Direct
0.500 0.500 0.500
0.000 0.000 0.000
0.750 0.750 0.750
0.250 0.250 0.250
```

Calculated values
Symmetry = No. 225
ΔE to the lowest computed polymorph = 0.26 eV/f.u.



ZnSn2Ge: relaxed, PBE.

```
ZnSn2Ge
1.0
-3.320 -4.716 -2.690
4.652 -4.096 1.441
-1.912 -5.524 4.518
Sn Ge Zn
4 2 2
Direct
0.125 0.625 0.250
0.375 0.375 0.750
0.625 0.125 0.250
0.875 0.875 0.750
0.750 0.250 0.500
0.000 0.000 0.000
0.500 0.500 0.000
0.250 0.750 0.500
```

Calculated values
Symmetry = No. 122
ΔE to the lowest computed polymorph = 0.21 eV/f.u.



ZnSnGe2: relaxed, PBE.

```
ZnSnGe2
1.0
6.014 0.000 0.000
0.000 6.014 0.000
3.007 3.007 5.878
Ge Zn Sn
4 2 2
Direct
0.596 0.125 0.250
0.875 0.846 0.750
0.375 0.404 0.750
0.154 0.625 0.250
0.500 0.500 0.000
0.250 0.750 0.500
0.000 0.000 0.000
0.750 0.250 0.500
```

Calculated values
Symmetry = No. 122
ΔE to the lowest computed polymorph = 0.16 eV/f.u.



Number 1: total magnetic moment 0.0 μB/cell, energy relative to the elements 0.260 eV per atom, E_tot -17.22 eV/cell. Number 2: total magnetic moment 0.0 μB/cell, energy relative to the elements 0.272 eV per atom, E_tot -34.30 eV/cell. Number 3: total magnetic moment 0.0 μB/cell, energy relative to the elements 0.190 eV per atom, E_tot -10.41 eV/cell. Number 4: total magnetic moment 0.0 μB/cell, energy relative to the elements 0.271 eV per atom, E_tot -13.43 eV/cell. Number 5: total magnetic moment 0.0 μB/cell, energy relative to the elements 0.200 eV per atom, E_tot -26.19 eV/cell. Number 6: total magnetic moment 0.0 μB/cell, energy relative to the elements 0.245 eV per atom, E_tot -27.07 eV/cell.